1.
This record from the Alexandria database describes a relaxed structure of MoSe2BrCl. The functional is PBE-GGA.

```
MoSe2BrCl
1.0
-4.5665 2.1913 -0.6512
-2.2827 -4.2929 1.5618
0.1199 1.6482 4.7056
Cl Se Mo Br
1 2 1 1
Cartesian
0.0000 0.0000 0.0000
-1.1413 -2.1465 0.7809
-2.2833 1.0956 -0.3256
-3.3647 -0.2267 2.8081
0.0599 0.8241 2.3528
```

Results
Uncorrected formation energy ... 6.25 eV/f.u.



2.
This record from the Alexandria database describes a relaxed structure of Sm2Ho2Tm3. The functional is PBE-GGA.

```
Sm2Ho2Tm3
1.0
-1.0805 -2.8843 -1.6270
6.5144 0.7256 -5.6124
2.0712 -2.9835 7.6424
Ho Sm Tm
2 2 3
Cartesian
1.7129 -3.1325 4.4157
5.7922 -2.0096 -4.0127
1.5578 -0.5621 -0.0381
5.9473 -4.5801 0.4411
2.6146 -3.6593 1.0219
3.2572 0.3628 -2.8062
4.8905 -1.4829 -0.6188
```

Results
Energy relative to the elements ... 0.94 eV per formula unit



3.
This record from the Alexandria database describes a relaxed structure of CsTlCd2In2. The functional is PBE-GGA.

```
CsTlCd2In2
1.0
5.1929 0.0000 0.0000
-2.5964 4.4971 0.0000
0.0000 0.0000 9.0917
In Cd Cs Tl
2 2 1 1
Cartesian
2.5964 1.4990 2.8961
0.0000 2.9981 6.1956
2.5964 1.4990 6.1840
0.0000 2.9981 2.9077
0.0000 0.0000 0.0000
0.0000 0.0000 4.5459
```

Results
Energy relative to the elements ... -0.31 eV per formula unit



4.
This record from the Alexandria database describes a relaxed structure of Hf4FeBi. The functional is PBE-GGA.

```
Hf4FeBi
1.0
5.4664 0.0000 1.1458
0.0000 6.7100 0.0000
1.6646 0.0000 7.9436
Bi Fe Hf
2 2 8
Cartesian
0.0000 0.0000 0.0000
2.7332 3.3550 0.5729
0.8323 3.3550 3.9718
3.5655 0.0000 4.5447
1.4668 2.2124 5.8948
4.2000 1.1425 6.4677
1.0977 5.7057 5.0508
3.8309 4.3592 5.6237
5.6642 4.4975 3.1946
6.0334 1.0043 4.0386
3.3002 2.3507 3.4657
2.9310 5.5674 2.6217
```

Results
Energy relative to the elements ... 0.30 eV per formula unit



5.
This record from the Alexandria database describes a relaxed structure of KReHg2. The functional is PBE-GGA.

```
KReHg2
1.0
-2.1738 -5.1270 1.6248
0.4134 -5.7625 0.5240
2.1036 -0.0791 4.9897
K Hg Re
1 2 1
Cartesian
0.3565 -5.5520 4.0430
0.0565 -8.2852 4.9156
-1.5169 -10.7624 2.6478
-0.1418 -2.7426 1.2501
```

Results
Energy relative to the elements ... 3.33 eV per formula unit



6.
This record from the Alexandria database describes a relaxed structure of FeRe3. The functional is PBE-GGA.

```
FeRe3
1.0
-1.6215 2.1779 0.2765
-2.6606 -3.7742 0.6556
1.5775 0.6171 4.3901
Re Fe
3 1
Cartesian
-0.0220 1.3975 2.3333
-0.5640 -0.8946 3.7387
-2.1405 -0.0846 1.5835
0.0000 0.0000 0.0000
```

Results
Energy relative to the elements ... 0.45 eV per formula unit



7.
This record from the Alexandria database describes a relaxed structure of TlAg3Pd6. The functional is PBE-GGA.

```
TlAg3Pd6
1.0
7.1654 0.0000 -0.1582
0.0000 7.0155 0.0000
0.0520 0.0000 7.1057
Pd Ag Tl
12 6 2
Cartesian
5.0422 6.0493 1.6272
6.2250 4.4272 6.6238
0.9925 2.5883 0.3237
5.7319 2.5415 1.6883
1.4855 4.4740 5.2592
1.0867 2.5339 3.1561
2.1752 0.9662 5.3203
4.6954 0.9738 6.6299
2.5220 6.0417 0.3176
2.6163 6.0961 3.1500
4.6012 0.9194 3.7975
6.1307 4.4816 3.7914
3.5827 3.5078 -0.0791
6.6289 2.1842 5.1060
0.5885 4.8313 1.8415
3.0202 1.3235 1.6323
4.1973 5.6920 5.3152
0.0260 0.0000 3.5529
0.0000 0.0000 0.0000
3.6087 3.5078 3.4737
```

Results
Energy relative to the elements ... 0.78 eV per formula unit



8.
This record from the Alexandria database describes a relaxed structure of HoCd2Au6. The functional is PBE-GGA.

```
HoCd2Au6
1.0
-0.2865 -2.3029 -4.5909
7.2954 -4.4967 0.3571
-2.3514 -7.8196 2.6260
Ho Cd Au
2 4 12
Cartesian
-1.1183 -7.9459 1.1714
5.7758 -6.6733 -2.7792
4.2978 -9.8828 -2.5037
0.3598 -4.7364 0.8959
2.7421 -5.0180 -1.9935
1.9155 -9.6013 0.3857
2.3122 -2.6892 -0.2439
-0.9036 -10.4228 -0.4923
0.8930 -7.1061 -0.8519
2.3453 -11.9300 -1.3639
6.6982 -6.7022 0.0489
3.7645 -7.5131 -0.7558
1.3140 -9.4593 -2.5086
3.3435 -5.1599 0.9008
-2.0406 -7.9170 -1.6566
4.9474 -9.9316 0.3533
5.5612 -4.1964 -1.1154
-0.2899 -4.6876 -1.9610
```

Results
Energy relative to the elements ... -3.15 eV per formula unit



9.
This record from the Alexandria database describes a relaxed structure of Y3TlPb. The functional is PBE-GGA.

```
Y3TlPb
1.0
6.7797 -1.1735 -1.0471
-1.3034 10.4218 2.9741
-1.3034 4.1375 10.0170
Y Tl Pb
12 4 4
Cartesian
5.2842 7.0477 3.1506
-0.7135 9.9220 7.3399
-1.1113 6.3381 8.7934
1.8943 4.5167 7.1682
-1.6539 11.8936 10.6044
4.8864 3.4637 4.6041
1.4966 5.5541 3.4425
1.7360 11.2988 10.0900
2.6763 7.8316 8.5015
2.2786 8.8690 4.7758
5.8268 1.4921 1.3396
2.4369 2.0870 1.8540
0.3915 3.8441 9.7552
3.7814 6.3995 5.7102
0.3915 6.9862 6.2338
3.7814 9.5416 2.1888
1.2087 2.6474 4.8083
-0.4257 8.8949 10.3828
4.5986 4.4909 1.5611
2.9642 10.7383 7.1357
```

Results
Energy relative to the elements ... -1.82 eV per formula unit



10.
This record from the Alexandria database describes a relaxed structure of BaPbSe2O8. The functional is PBE-GGA.

```
BaPbSe2O8
1.0
-2.2320 0.5427 4.9229
-4.6187 -2.6006 1.1899
1.8621 -6.8766 4.5997
Pb O Ba Se
1 8 1 2
Cartesian
0.0000 0.0000 0.0000
-0.2510 -5.2684 7.1449
-4.7377 -3.6662 3.5676
-4.2518 -2.2325 6.2455
-0.7369 -6.7021 4.4670
-4.6775 -5.3033 7.4560
-0.3112 -3.6313 3.2566
-2.7199 -7.0687 6.7899
-2.2687 -1.8659 3.9226
-2.4943 -4.4673 5.3563
-1.1922 -2.3158 2.7121
-3.7965 -6.6188 8.0004
```

Results
Uncorrected formation energy ... -15.34 eV/f.u.



11.
This record from the Alexandria database describes a relaxed structure of Tb5DyTl5. The functional is PBE-GGA.

```
Tb5DyTl5
1.0
5.8819 0.0000 0.0000
-2.9410 8.0791 0.9732
0.0000 -1.9796 6.8465
Tb Tl Dy
5 5 1
Cartesian
2.9410 1.4195 3.0313
0.0000 4.6800 4.7885
0.0000 -0.9898 3.4233
2.9410 1.0295 6.6006
0.0000 5.0700 1.2191
0.0000 2.1775 2.2158
0.0000 1.3830 5.3357
2.9410 4.7166 2.4841
2.9410 0.0000 0.0000
2.9410 3.9220 5.6039
0.0000 0.0000 0.0000
```

Results
Energy relative to the elements ... -1.21 eV per formula unit



12.
This record from the Alexandria database describes a relaxed structure of TbDyY3Tm. The functional is PBE-GGA.

```
TbDyY3Tm
1.0
5.0180 0.0000 0.0000
-2.5090 7.5408 0.0000
0.0000 0.0000 10.0370
Y Dy Tm Tb
6 2 2 2
Cartesian
0.0000 2.5147 7.5278
2.5090 2.5061 0.0014
0.0000 5.0347 5.0199
2.5090 5.0261 2.5092
2.5090 2.5061 5.0171
0.0000 5.0347 10.0356
0.0000 7.5278 7.5278
2.5090 0.0130 2.5092
2.5090 5.0391 7.5278
0.0000 2.5017 2.5092
0.0000 0.0000 5.0185
0.0000 0.0000 0.0000
```

Results
Energy relative to the elements ... 0.14 eV per formula unit